Entry A
First-principles (GGA-PBE) data for crystalline Sm3HoEr4 at its relaxed geometry, as listed in Alexandria via LeMat-Bulk.

POSCAR file:
```
Sm3HoEr4
1.0
-1.7323 5.7876 6.4476
1.7323 -5.7876 6.4476
1.7323 5.7876 -6.4476
Sm Ho Er
3 1 4
Cartesian
0.0000 0.0000 0.0000 Sm
1.7323 0.0000 3.3071 Sm
0.0000 5.7876 3.1405 Sm
0.0000 0.0000 6.4476 Ho
1.7323 2.9455 -1.7395 Er
1.7323 2.9455 1.7395 Er
0.0000 2.8421 4.7080 Er
0.0000 2.8421 8.1871 Er
```

Results
As for the size of the total moment: 0.000 Bohr magnetons per cell. As for the theoretical density: 8.3 g cm⁻³. For the calculated volume, the calculation gives 258.6 Å³ per cell.

Entry B
First-principles (GGA-PBE) data for crystalline Sm3HoEr4 at its relaxed geometry, as listed in Alexandria via LeMat-Bulk.

POSCAR file:
```
Sm3HoEr4
1.0
11.3058 0.0000 0.0000
0.0000 7.2645 0.0000
0.0000 0.0000 6.2715
Sm Ho Er
6 2 8
Cartesian
0.0000 0.9261 0.0000 Sm
2.8303 0.9195 2.0914 Sm
2.8227 6.3449 5.2272 Sm
5.6529 6.3384 3.1358 Sm
8.4756 0.9195 2.0914 Sm
8.4832 6.3449 5.2272 Sm
0.0000 6.3325 3.1267 Ho
5.6529 0.9320 6.2625 Ho
0.0000 2.7396 3.1395 Er
0.0000 4.5173 6.2707 Er
2.8100 4.5207 2.0872 Er
2.8429 2.7438 5.2229 Er
5.6529 2.7472 3.1349 Er
5.6529 4.5249 0.0037 Er
8.4629 2.7438 5.2229 Er
8.4959 4.5207 2.0872 Er
```

Results
As for the size of the total moment: 0.000 Bohr magnetons per cell. As for the theoretical density: 8.3 g cm⁻³. For the calculated volume, the calculation gives 515.1 Å³ per cell.

entry B has the most favorable energy; the next structure is 0.121 eV/atom above.

Entry A
First-principles (GGA-PBE) data for crystalline Sm8HoEr2 at its relaxed geometry, as listed in Alexandria via LeMat-Bulk.

POSCAR file:
```
Sm8HoEr2
1.0
8.3443 -3.3652 0.0000
8.3443 3.3652 0.0000
-1.1844 0.0000 6.5674
Sm Ho Er
8 1 2
Cartesian
0.4667 0.0000 5.9840 Sm
6.1786 1.7620 3.9116 Sm
3.4555 0.0000 4.4790 Sm
9.3256 1.7620 2.6558 Sm
6.1786 -1.7620 3.9116 Sm
12.0488 0.0000 2.0883 Sm
9.3256 -1.7620 2.6558 Sm
15.0375 0.0000 0.5833 Sm
8.3443 0.0000 0.0000 Ho
4.8036 0.0000 1.2788 Er
10.7006 0.0000 5.2885 Er
```

Results
As for the size of the total moment: 0.001 Bohr magnetons per cell. As for the theoretical density: 7.7 g cm⁻³. For the calculated volume, the calculation gives 368.8 Å³ per cell.

Entry B
First-principles (GGA-PBE) data for crystalline Sm8HoEr2 at its relaxed geometry, as listed in Alexandria via LeMat-Bulk.

POSCAR file:
```
Sm8HoEr2
1.0
6.2237 0.0000 0.0000
-1.0364 6.1373 0.0000
-1.0483 -0.1916 9.4612
Sm Ho Er
8 1 2
Cartesian
0.0044 0.5277 1.7184 Sm
-0.0092 1.5735 5.1594 Sm
-0.0050 2.6187 8.6045 Sm
1.0362 4.9044 6.0220 Sm
3.1027 1.0413 3.4392 Sm
4.1439 3.3271 0.8568 Sm
4.1482 4.3723 4.3019 Sm
4.1345 5.4181 7.7428 Sm
3.1118 0.0000 0.0000 Ho
1.0340 3.8561 2.5686 Er
3.1049 2.0897 6.8927 Er
```

Results
As for the size of the total moment: 0.000 Bohr magnetons per cell. As for the theoretical density: 7.8 g cm⁻³. For the calculated volume, the calculation gives 361.4 Å³ per cell.

entry B has the most favorable energy; the next structure is 0.158 eV/atom above.

Entry A
First-principles (GGA-PBE) data for crystalline Sm8HoEr6 at its relaxed geometry, as listed in Alexandria via LeMat-Bulk.

POSCAR file:
```
Sm8HoEr6
1.0
4.5239 2.6119 6.9131
-4.5239 2.6119 6.9131
0.0000 -5.2238 6.9131
Sm Ho Er
8 1 6
Cartesian
0.0000 0.0000 1.6056 Sm
-1.7813 0.8652 7.4607 Sm
0.1413 -1.9753 7.4607 Sm
-1.6400 -1.1100 13.2785 Sm
1.6400 1.1100 7.4607 Sm
-0.1413 1.9753 13.2785 Sm
1.7813 -0.8652 13.2785 Sm
0.0000 0.0000 19.1336 Sm
0.0000 0.0000 10.3696 Ho
-2.5316 -2.2207 9.5589 Er
-3.1890 1.0820 11.1803 Er
0.6574 -3.3028 11.1803 Er
-0.6574 3.3028 9.5589 Er
3.1890 -1.0820 9.5589 Er
2.5316 2.2207 11.1803 Er
```

Results
As for the size of the total moment: 0.000 Bohr magnetons per cell. As for the theoretical density: 8.0 g cm⁻³. For the calculated volume, the calculation gives 490.1 Å³ per cell.

Entry B
First-principles (GGA-PBE) data for crystalline Sm8HoEr6 at its relaxed geometry, as listed in Alexandria via LeMat-Bulk.

POSCAR file:
```
Sm8HoEr6
1.0
9.3710 0.0000 0.0000
-4.6855 8.1155 0.0000
0.0000 0.0000 6.4797
Sm Ho Er
8 1 6
Cartesian
-0.9929 2.3113 2.1487 Sm
-2.1875 7.8197 2.1487 Sm
1.5052 2.0155 4.3309 Sm
0.0000 5.4104 2.4354 Sm
4.6855 2.7052 4.0443 Sm
3.1803 6.1001 2.1487 Sm
6.8730 0.2958 4.3309 Sm
5.6784 5.8043 4.3309 Sm
0.0000 0.0000 0.0000 Ho
-1.1779 3.5689 5.4358 Er
-1.0058 7.3512 5.4358 Er
2.5018 2.8046 1.0439 Er
2.1837 5.3110 5.4358 Er
5.6913 0.7643 1.0439 Er
5.8634 4.5467 1.0439 Er
```

Results
As for the size of the total moment: 0.001 Bohr magnetons per cell. As for the theoretical density: 8.0 g cm⁻³. For the calculated volume, the calculation gives 492.8 Å³ per cell.

entry A has the most favorable energy; the next structure is 0.052 eV/atom above.